(1)
Below is a geometry-optimized CaZrRu2 structure, with properties calculated at the GGA-PBE level.

Lattice parameters (Å, degrees): 3.2948 3.2948 6.9418 90.00 90.00 90.00
With the nearest neighbours (Å) after each atom.
Fractional coordinates of all 4 atoms:
Ru1 0.0000 0.0000 0.0312  4 Zr 2.78, 1 Ru 3.04, 4 Ca 3.04
Ru2 0.0000 0.0000 0.4688  4 Zr 2.78, 1 Ru 3.04, 4 Ca 3.04
Ca1 0.5000 0.5000 0.7500  8 Ru 3.04, 4 Ca 3.29
Zr1 0.5000 0.5000 0.2500  8 Ru 2.78

Computed properties:
Its density of states at the Fermi level is 1.24 states/eV per atom. The symmetry is P4/mmm. The calculation puts the formation energy at -0.16 eV per atom. The crystal system is tetragonal.


(2)
Below is a geometry-optimized CaZrRu structure, with properties calculated at the GGA-PBE level.

Lattice parameters (Å, degrees): 4.6131 4.6131 3.4569 90.00 90.00 120.00
With the nearest neighbours (Å) after each atom.
Fractional coordinates of all 3 atoms:
Ru1 0.6667 0.3333 0.3786  3 Zr 2.76, 3 Ca 2.92
Ca1 0.0000 0.0000 0.0324  3 Ru 2.92, 3 Zr 3.07
Zr1 0.3333 0.6667 0.5889  3 Ru 2.76, 3 Ca 3.07

Computed properties:
Its density of states at the Fermi level is 0.92 states/eV per atom. The symmetry is P3m1. The calculation puts the formation energy at 0.15 eV per atom. The crystal system is trigonal.


(3)
Below is a geometry-optimized CaZrRu2 structure, with properties calculated at the GGA-PBE level.

Lattice parameters (Å, degrees): 5.7013 5.7013 4.6619 65.85 65.85 32.85
With the nearest neighbours (Å) after each atom.
Fractional coordinates of all 4 atoms:
Ru1 0.0213 0.0213 0.9792  2 Ru 2.72, 4 Zr 2.86-2.87
Ru2 0.7430 0.7430 0.7565  2 Ru 2.72, 2 Zr 2.83, 4 Ca 2.84
Ca1 0.2575 0.2575 0.2423  6 Ru 2.84-3.07
Zr1 0.4782 0.4782 0.5220  6 Ru 2.83-2.87

Computed properties:
Its density of states at the Fermi level is 0.46 states/eV per atom. The symmetry is Imm2. The calculation puts the formation energy at 0.03 eV per atom. The crystal system is orthorhombic.


(4)
Below is a geometry-optimized CaZr2Ru structure, with properties calculated at the GGA-PBE level.

Lattice parameters (Å, degrees): 5.7241 5.7241 5.7241 137.47 137.47 61.71
With the nearest neighbours (Å) after each atom.
Fractional coordinates of all 4 atoms:
Ru1 0.7500 0.2500 0.5000  8 Zr 2.94-3.22, 4 Ca 3.22
Ca1 0.5000 0.5000 0.0000  8 Zr 2.94-3.22, 4 Ru 3.22
Zr1 0.0000 0.0000 0.0000  4 Ca 2.94, 4 Ru 3.22, 4 Zr 3.22
Zr2 0.2500 0.7500 0.5000  4 Ru 2.94, 4 Zr 3.22, 4 Ca 3.22

Computed properties:
Its density of states at the Fermi level is 1.29 states/eV per atom. The symmetry is I-4m2. The calculation puts the formation energy at 0.31 eV per atom. The crystal system is tetragonal.


(5)
Below is a geometry-optimized CaZr4Ru structure, with properties calculated at the GGA-PBE level.

Lattice parameters (Å, degrees): 5.8028 5.8028 5.8028 60.00 60.00 60.00
With the nearest neighbours (Å) after each atom.
Fractional coordinates of all 6 atoms:
Ca1 0.7500 0.7500 0.7500  12 Zr 3.41, 4 Ru 3.55
Zr1 0.8800 0.3733 0.3733  6 Zr 2.86-2.94
Zr2 0.3733 0.3733 0.8800  6 Zr 2.86-2.94
Zr3 0.3733 0.8800 0.3733  6 Zr 2.86-2.94
Zr4 0.3733 0.3733 0.3733  6 Zr 2.86-2.94
Ru1 0.0000 0.0000 0.0000  12 Zr 3.40, 4 Ca 3.55

Computed properties:
Its density of states at the Fermi level is 1.43 states/eV per atom. The symmetry is F-43m. The calculation puts the formation energy at 0.53 eV per atom. The crystal system is cubic.


(6)
Below is a geometry-optimized CaZrRu2 structure, with properties calculated at the GGA-PBE level.

Lattice parameters (Å, degrees): 2.9893 3.7063 7.7418 90.00 90.00 90.00
With the nearest neighbours (Å) after each atom.
Fractional coordinates of all 4 atoms:
Ru1 0.0000 0.0000 0.0794  4 Ru 2.57, 1 Zr 2.64
Ru2 0.5000 0.5000 0.2044  4 Ru 2.57
Ca1 0.5000 0.5000 0.7954  2 Ca 2.99, 5 Ru 3.17-3.24
Zr1 0.0000 0.0000 0.4208  5 Ru 2.64-2.91

Computed properties:
Its density of states at the Fermi level is 1.17 states/eV per atom. The symmetry is Pmm2. The calculation puts the formation energy at 0.19 eV per atom. The crystal system is orthorhombic.


> Which formula does entry 5 have?

CaZr4Ru